Entry from the Alexandria database: a geometry-optimized LiCr3Te structure (GGA-PBE).

Calculated values
Its space-group type is No. 221. The energy above the most stable polymorph in this dataset is 0.00 kJ/mol of atoms. The value obtained for the total energy is -28.5 eV per cell. The volume is 28.48 Å³/atom.

Unit cell a=5.222 b=5.222 c=5.222 alpha=90.00 beta=90.00 gamma=90.00
Fractional coordinates of all 5 atoms:
1 Li 0.000 0.000 0.000
2 Cr 0.000 0.500 0.500
3 Cr 0.500 0.000 0.500
4 Cr 0.500 0.500 0.000
5 Te 0.500 0.500 0.500

=====

Entry from the Alexandria database: a geometry-optimized BeCu2Br4 structure (GGA-PBE).

Calculated values
Its space-group type is No. 121. The value obtained for the total energy is -44.8 eV per cell. The volume is 28.66 Å³/atom.

Unit cell a=5.835 b=5.835 c=11.783 alpha=90.00 beta=90.00 gamma=90.00
Fractional coordinates of all 14 atoms:
1 Be 0.000 0.000 0.000
2 Be 0.500 0.500 0.500
3 Cu 0.000 0.500 0.000
4 Cu 0.000 0.500 0.500
5 Cu 0.500 0.000 0.000
6 Cu 0.500 0.000 0.500
7 Br 0.217 0.217 0.113
8 Br 0.217 0.783 0.887
9 Br 0.283 0.283 0.613
10 Br 0.283 0.717 0.387
11 Br 0.717 0.283 0.387
12 Br 0.717 0.717 0.613
13 Br 0.783 0.217 0.887
14 Br 0.783 0.783 0.113

=====

Entry from the Alexandria database: a geometry-optimized TbTmPt2 structure (GGA-PBE).

Calculated values
Its space-group type is No. 123. The energy above the most stable polymorph in this dataset is 5.16 kJ/mol of atoms. The value obtained for the total energy is -26.1 eV per cell. The volume is 21.05 Å³/atom.

Unit cell a=4.942 b=4.942 c=3.448 alpha=90.00 beta=90.00 gamma=90.00
Fractional coordinates of all 4 atoms:
1 Tb 0.000 0.000 0.000
2 Tm 0.500 0.500 0.000
3 Pt 0.000 0.500 0.500
4 Pt 0.500 0.000 0.500

=====

Entry from the Alexandria database: a geometry-optimized SmInAg5 structure (GGA-PBE).

Calculated values
Its space-group type is No. 62. The value obtained for the total energy is -91.4 eV per cell. The volume is 20.95 Å³/atom.

Unit cell a=9.089 b=5.644 c=11.433 alpha=90.00 beta=90.00 gamma=90.00
Fractional coordinates of all 28 atoms:
1 Sm 0.244 0.250 0.062
2 Sm 0.256 0.750 0.562
3 Sm 0.744 0.250 0.438
4 Sm 0.756 0.750 0.938
5 In 0.145 0.750 0.851
6 In 0.355 0.250 0.351
7 In 0.645 0.750 0.649
8 In 0.855 0.250 0.149
9 Ag 0.064 0.750 0.083
10 Ag 0.065 0.006 0.306
11 Ag 0.065 0.494 0.306
12 Ag 0.096 0.250 0.518
13 Ag 0.184 0.250 0.758
14 Ag 0.316 0.750 0.258
15 Ag 0.404 0.750 0.018
16 Ag 0.435 0.506 0.806
17 Ag 0.435 0.994 0.806
18 Ag 0.436 0.250 0.583
19 Ag 0.564 0.750 0.417
20 Ag 0.565 0.006 0.194
21 Ag 0.565 0.494 0.194
22 Ag 0.596 0.250 0.982
23 Ag 0.684 0.250 0.742
24 Ag 0.816 0.750 0.242
25 Ag 0.904 0.750 0.482
26 Ag 0.935 0.506 0.694
27 Ag 0.935 0.994 0.694
28 Ag 0.936 0.250 0.917

=====

Entry from the Alexandria database: a geometry-optimized KLaSn2Bi structure (GGA-PBE).

Calculated values
Its space-group type is No. 123. The value obtained for the total energy is -13.8 eV per cell. The volume is 37.99 Å³/atom.

Unit cell a=5.750 b=5.750 c=5.745 alpha=90.00 beta=90.00 gamma=90.00
Fractional coordinates of all 5 atoms:
1 K 0.000 0.000 0.000
2 La 0.000 0.000 0.500
3 Sn 0.000 0.500 0.000
4 Sn 0.500 0.000 0.000
5 Bi 0.500 0.500 0.500

=====

Entry from the Alexandria database: a geometry-optimized PrTh4O10 structure (GGA-PBE).

Calculated values
Its space-group type is No. 166. The value obtained for the total energy is -138.5 eV per cell. The volume is 14.93 Å³/atom.

Unit cell a=16.442 b=16.442 c=16.442 alpha=13.92 beta=13.92 gamma=13.92
Fractional coordinates of all 15 atoms:
1 Pr 0.000 0.000 0.000
2 Th 0.200 0.200 0.200
3 Th 0.400 0.400 0.400
4 Th 0.600 0.600 0.600
5 Th 0.800 0.800 0.800
6 O 0.052 0.052 0.052
7 O 0.150 0.150 0.150
8 O 0.249 0.249 0.249
9 O 0.352 0.352 0.352
10 O 0.451 0.451 0.451
11 O 0.549 0.549 0.549
12 O 0.648 0.648 0.648
13 O 0.751 0.751 0.751
14 O 0.850 0.850 0.850
15 O 0.948 0.948 0.948